Entry w
# Hg3TeI

A relaxed structure of Hg3TeI (PBE, the Alexandria database).

- Theoretical density: 7.29 g/cm³
- V: 195 Å³ per cell

```
data_Hg3TeI
_chemical_formula_sum 'Hg3 Te1 I1'
_cell_length_a 5.801
_cell_length_b 5.801
_cell_length_c 5.801
_cell_angle_alpha 90.00
_cell_angle_beta 90.00
_cell_angle_gamma 90.00
_symmetry_space_group_name_H-M 'P 1'
_symmetry_Int_Tables_number 1
_symmetry_space_group_name_Hall 'P 1'
loop_
_atom_site_label
_atom_site_fract_x
_atom_site_fract_y
_atom_site_fract_z
Hg1 0.000 0.000 0.500
Te1 0.000 0.000 0.000
Hg2 0.000 0.500 0.000
I1 0.500 0.500 0.500
Hg3 0.500 0.000 0.000
```

=====

Entry x
# Hg3TeI

A relaxed structure of Hg3TeI (PBE, the Alexandria database).

- Theoretical density: 7.57 g/cm³
- V: 376 Å³ per cell

```
data_Hg3TeI
_chemical_formula_sum 'Hg6 Te2 I2'
_cell_length_a 8.116
_cell_length_b 8.116
_cell_length_c 8.116
_cell_angle_alpha 59.73
_cell_angle_beta 59.73
_cell_angle_gamma 59.73
_symmetry_space_group_name_H-M 'P 1'
_symmetry_Int_Tables_number 1
_symmetry_space_group_name_Hall 'P 1'
loop_
_atom_site_label
_atom_site_fract_x
_atom_site_fract_y
_atom_site_fract_z
Hg1 0.149 0.743 0.339
I1 0.745 0.745 0.745
Te1 0.994 0.994 0.994
I2 0.245 0.245 0.245
Hg2 0.839 0.243 0.649
Hg3 0.339 0.149 0.743
Hg4 0.243 0.649 0.839
Hg5 0.743 0.339 0.149
Hg6 0.649 0.839 0.243
Te2 0.494 0.494 0.494
```

=====

Entry y
# Hg3TeI

A relaxed structure of Hg3TeI (PBE, the Alexandria database).

- Theoretical density: 6.86 g/cm³
- V: 415 Å³ per cell

```
data_Hg3TeI
_chemical_formula_sum 'Hg6 Te2 I2'
_cell_length_a 4.812
_cell_length_b 11.128
_cell_length_c 10.390
_cell_angle_alpha 129.06
_cell_angle_beta 90.00
_cell_angle_gamma 102.61
_symmetry_space_group_name_H-M 'P 1'
_symmetry_Int_Tables_number 1
_symmetry_space_group_name_Hall 'P 1'
loop_
_atom_site_label
_atom_site_fract_x
_atom_site_fract_y
_atom_site_fract_z
I1 0.318 0.639 0.725
Te1 0.133 0.266 0.812
Hg1 0.691 0.382 0.014
Te2 0.867 0.734 0.188
Hg2 0.309 0.618 0.986
Hg3 0.902 0.801 0.511
Hg4 0.050 0.101 0.170
I2 0.682 0.361 0.275
Hg5 0.950 0.899 0.830
Hg6 0.098 0.199 0.489
```

=====

Result of the stability comparison: entry y is the most stable of them.

=====

Entry w
# HgTe2I2

A relaxed structure of HgTe2I2 (PBE, the Alexandria database).

- Theoretical density: 6.09 g/cm³
- V: 194 Å³ per cell

```
data_HgTe2I2
_chemical_formula_sum 'Hg1 Te2 I2'
_cell_length_a 4.170
_cell_length_b 4.170
_cell_length_c 11.516
_cell_angle_alpha 79.57
_cell_angle_beta 79.57
_cell_angle_gamma 90.00
_symmetry_space_group_name_H-M 'P 1'
_symmetry_Int_Tables_number 1
_symmetry_space_group_name_Hall 'P 1'
loop_
_atom_site_label
_atom_site_fract_x
_atom_site_fract_y
_atom_site_fract_z
Te1 0.250 0.750 0.500
I1 0.581 0.581 0.838
Hg1 0.000 0.000 0.000
Te2 0.750 0.250 0.500
I2 0.419 0.419 0.162
```

=====

Entry x
# HgTe2I2

A relaxed structure of HgTe2I2 (PBE, the Alexandria database).

- Theoretical density: 5.44 g/cm³
- V: 217 Å³ per cell

```
data_HgTe2I2
_chemical_formula_sum 'Hg1 Te2 I2'
_cell_length_a 6.420
_cell_length_b 6.420
_cell_length_c 6.945
_cell_angle_alpha 62.47
_cell_angle_beta 62.47
_cell_angle_gamma 90.00
_symmetry_space_group_name_H-M 'P 1'
_symmetry_Int_Tables_number 1
_symmetry_space_group_name_Hall 'P 1'
loop_
_atom_site_label
_atom_site_fract_x
_atom_site_fract_y
_atom_site_fract_z
Hg1 0.000 0.000 0.000
I1 0.750 0.250 0.500
I2 0.250 0.750 0.500
Te1 0.620 0.620 0.759
Te2 0.380 0.380 0.241
```

=====

Result of the stability comparison: entry x is the most stable of them.

=====

Entry w
# Hg3Te2I2

A relaxed structure of Hg3Te2I2 (PBE, the Alexandria database).

- Theoretical density: 6.35 g/cm³
- V: 581 Å³ per cell

```
data_Hg3Te2I2
_chemical_formula_sum 'Hg6 Te4 I4'
_cell_length_a 10.136
_cell_length_b 7.664
_cell_length_c 8.220
_cell_angle_alpha 90.00
_cell_angle_beta 114.51
_cell_angle_gamma 90.00
_symmetry_space_group_name_H-M 'P 1'
_symmetry_Int_Tables_number 1
_symmetry_space_group_name_Hall 'P 1'
loop_
_atom_site_label
_atom_site_fract_x
_atom_site_fract_y
_atom_site_fract_z
Hg1 0.253 0.573 0.858
Hg2 0.500 0.500 0.500
I1 0.234 0.331 0.121
Hg3 0.747 0.427 0.142
Te1 0.933 0.149 0.266
Te2 0.067 0.851 0.734
Te3 0.433 0.351 0.766
Hg4 0.000 0.000 0.000
Te4 0.567 0.649 0.234
Hg5 0.247 0.073 0.642
I2 0.734 0.169 0.621
I3 0.766 0.669 0.879
I4 0.266 0.831 0.379
Hg6 0.753 0.927 0.358
```

=====

Entry x
# Hg3Te2I2

A relaxed structure of Hg3Te2I2 (PBE, the Alexandria database).

- Theoretical density: 5.93 g/cm³
- V: 311 Å³ per cell

```
data_Hg3Te2I2
_chemical_formula_sum 'Hg3 Te2 I2'
_cell_length_a 4.564
_cell_length_b 6.489
_cell_length_c 10.759
_cell_angle_alpha 92.29
_cell_angle_beta 102.25
_cell_angle_gamma 90.00
_symmetry_space_group_name_H-M 'P 1'
_symmetry_Int_Tables_number 1
_symmetry_space_group_name_Hall 'P 1'
loop_
_atom_site_label
_atom_site_fract_x
_atom_site_fract_y
_atom_site_fract_z
I1 0.296 0.283 0.592
Hg1 0.354 0.913 0.707
Te1 0.096 0.289 0.192
Hg2 0.000 0.000 0.000
Te2 0.904 0.711 0.808
Hg3 0.646 0.087 0.293
I2 0.704 0.717 0.408
```

=====

Result of the stability comparison: entry w is the most stable of them.

=====

Entry w
# TiHgTe2I

A relaxed structure of TiHgTe2I (PBE, the Alexandria database).

- Theoretical density: 6.38 g/cm³
- V: 164 Å³ per cell

```
data_TiHgTe2I
_chemical_formula_sum 'Ti1 Hg1 Te2 I1'
_cell_length_a 5.333
_cell_length_b 5.333
_cell_length_c 5.771
_cell_angle_alpha 90.00
_cell_angle_beta 90.00
_cell_angle_gamma 90.00
_symmetry_space_group_name_H-M 'P 1'
_symmetry_Int_Tables_number 1
_symmetry_space_group_name_Hall 'P 1'
loop_
_atom_site_label
_atom_site_fract_x
_atom_site_fract_y
_atom_site_fract_z
Ti1 0.000 0.000 0.000
Hg1 0.500 0.500 0.500
Te1 0.500 0.000 0.000
Te2 0.000 0.500 0.000
I1 0.000 0.000 0.500
```

=====

Entry x
# TiHgTe2I

A relaxed structure of TiHgTe2I (PBE, the Alexandria database).

- Theoretical density: 5.73 g/cm³
- V: 183 Å³ per cell

```
data_TiHgTe2I
_chemical_formula_sum 'Ti1 Hg1 Te2 I1'
_cell_length_a 5.631
_cell_length_b 5.631
_cell_length_c 5.767
_cell_angle_alpha 90.00
_cell_angle_beta 90.00
_cell_angle_gamma 90.00
_symmetry_space_group_name_H-M 'P 1'
_symmetry_Int_Tables_number 1
_symmetry_space_group_name_Hall 'P 1'
loop_
_atom_site_label
_atom_site_fract_x
_atom_site_fract_y
_atom_site_fract_z
Te1 0.500 0.000 0.000
I1 0.000 0.000 0.500
Te2 0.000 0.500 0.000
Ti1 0.500 0.500 0.500
Hg1 0.000 0.000 0.000
```

=====

Result of the stability comparison: entry w is the most stable of them.

=====

Entry w
# TiHgTeI2

A relaxed structure of TiHgTeI2 (PBE, the Alexandria database).

- Theoretical density: 5.42 g/cm³
- V: 193 Å³ per cell

```
data_TiHgTeI2
_chemical_formula_sum 'Ti1 Hg1 Te1 I2'
_cell_length_a 5.791
_cell_length_b 5.791
_cell_length_c 5.757
_cell_angle_alpha 90.00
_cell_angle_beta 90.00
_cell_angle_gamma 90.00
_symmetry_space_group_name_H-M 'P 1'
_symmetry_Int_Tables_number 1
_symmetry_space_group_name_Hall 'P 1'
loop_
_atom_site_label
_atom_site_fract_x
_atom_site_fract_y
_atom_site_fract_z
I1 0.500 0.000 0.000
I2 0.000 0.500 0.000
Hg1 0.000 0.000 0.000
Te1 0.000 0.000 0.500
Ti1 0.500 0.500 0.500
```

=====

Entry x
# TiHgTeI2

A relaxed structure of TiHgTeI2 (PBE, the Alexandria database).

- Theoretical density: 6.15 g/cm³
- V: 170 Å³ per cell

```
data_TiHgTeI2
_chemical_formula_sum 'Ti1 Hg1 Te1 I2'
_cell_length_a 5.650
_cell_length_b 5.650
_cell_length_c 5.329
_cell_angle_alpha 90.00
_cell_angle_beta 90.00
_cell_angle_gamma 90.00
_symmetry_space_group_name_H-M 'P 1'
_symmetry_Int_Tables_number 1
_symmetry_space_group_name_Hall 'P 1'
loop_
_atom_site_label
_atom_site_fract_x
_atom_site_fract_y
_atom_site_fract_z
Hg1 0.500 0.500 0.500
Te1 0.000 0.000 0.500
Ti1 0.000 0.000 0.000
I1 0.000 0.500 0.000
I2 0.500 0.000 0.000
```

=====

Result of the stability comparison: entry x is the most stable of them.

=====

Entry w
# TlHgTeI2

A relaxed structure of TlHgTeI2 (PBE, the Alexandria database).

- Theoretical density: 5.84 g/cm³
- V: 224 Å³ per cell

```
data_TlHgTeI2
_chemical_formula_sum 'Tl1 Hg1 Te1 I2'
_cell_length_a 6.121
_cell_length_b 6.121
_cell_length_c 5.972
_cell_angle_alpha 90.00
_cell_angle_beta 90.00
_cell_angle_gamma 90.00
_symmetry_space_group_name_H-M 'P 1'
_symmetry_Int_Tables_number 1
_symmetry_space_group_name_Hall 'P 1'
loop_
_atom_site_label
_atom_site_fract_x
_atom_site_fract_y
_atom_site_fract_z
I1 0.000 0.500 0.000
Te1 0.000 0.000 0.500
I2 0.500 0.000 0.000
Hg1 0.500 0.500 0.500
Tl1 0.000 0.000 0.000
```

=====

Entry x
# TlHgTeI2

A relaxed structure of TlHgTeI2 (PBE, the Alexandria database).

- Theoretical density: 6.34 g/cm³
- V: 206 Å³ per cell

```
data_TlHgTeI2
_chemical_formula_sum 'Tl1 Hg1 Te1 I2'
_cell_length_a 6.032
_cell_length_b 6.032
_cell_length_c 5.664
_cell_angle_alpha 90.00
_cell_angle_beta 90.00
_cell_angle_gamma 90.00
_symmetry_space_group_name_H-M 'P 1'
_symmetry_Int_Tables_number 1
_symmetry_space_group_name_Hall 'P 1'
loop_
_atom_site_label
_atom_site_fract_x
_atom_site_fract_y
_atom_site_fract_z
I1 0.000 0.500 0.000
Hg1 0.000 0.000 0.000
Tl1 0.500 0.500 0.500
I2 0.500 0.000 0.000
Te1 0.000 0.000 0.500
```

=====

Result of the stability comparison: entry x is the most stable of them.